[1]
This record from Alexandria via LeMat-Bulk describes crystalline Sm4Te3Br at its relaxed geometry. The functional is PBE.

abc: 14.1356 14.1356 14.1356
angles: 18.15 18.15 18.15
Element x y z (fractional)
Sm: 0.1248 0.1248 0.1248
Sm: 0.3705 0.3705 0.3705
Sm: 0.6295 0.6295 0.6295
Sm: 0.8752 0.8752 0.8752
Te: 0.2531 0.2531 0.2531
Te: 0.5000 0.5000 0.5000
Te: 0.7469 0.7469 0.7469
Br: 0.0000 0.0000 0.0000

Computed properties:
The formation energy without anion corrections is -1.27 eV/atom. The value obtained for the theoretical density is 7.38 g cm⁻³.

[2]
This record from Alexandria via LeMat-Bulk describes crystalline Hf2Nb2F at its relaxed geometry. The functional is PBE.

abc: 5.9580 5.9580 5.3031
angles: 90.00 90.00 90.00
Element x y z (fractional)
Hf: 0.1642 0.3358 0.0000
Hf: 0.3358 0.8358 0.0000
Hf: 0.6642 0.1642 0.0000
Hf: 0.8358 0.6642 0.0000
Nb: 0.1532 0.6532 0.5000
Nb: 0.3468 0.1532 0.5000
Nb: 0.6532 0.8468 0.5000
Nb: 0.8468 0.3468 0.5000
F: 0.0000 0.0000 0.5000
F: 0.5000 0.5000 0.5000

Computed properties:
The formation energy without anion corrections is -0.16 eV/atom. The value obtained for the energy above the most stable polymorph in this dataset is 0.000 eV per atom. The value obtained for the theoretical density is 9.91 g cm⁻³.

[3]
This record from Alexandria via LeMat-Bulk describes crystalline SrVInB2 at its relaxed geometry. The functional is PBE.

abc: 4.3574 4.3574 4.9452
angles: 90.00 90.00 90.00
Element x y z (fractional)
Sr: 0.0000 0.0000 0.0000
V: 0.5000 0.5000 0.5000
In: 0.5000 0.5000 0.0000
B: 0.0000 0.5000 0.5000
B: 0.5000 0.0000 0.5000

Computed properties:
The value obtained for the theoretical density is 4.86 g cm⁻³.

[4]
This record from Alexandria via LeMat-Bulk describes crystalline CeInSe4 at its relaxed geometry. The functional is PBE.

abc: 5.8554 9.3746 7.4271
angles: 90.00 111.83 90.00
Element x y z (fractional)
Ce: 0.1214 0.2500 0.2296
Ce: 0.8786 0.7500 0.7704
In: 0.0965 0.7500 0.3380
In: 0.9035 0.2500 0.6620
Se: 0.2032 0.5537 0.1076
Se: 0.2032 0.9463 0.1076
Se: 0.3403 0.2500 0.6534
Se: 0.3446 0.7500 0.7065
Se: 0.6554 0.2500 0.2935
Se: 0.6597 0.7500 0.3466
Se: 0.7968 0.0537 0.8924
Se: 0.7968 0.4463 0.8924

Computed properties:
The formation energy without anion corrections is -0.84 eV/atom. The value obtained for the theoretical density is 5.01 g cm⁻³.

Number 1: total energy -0.369 Ry/atom. Number 2: total energy -0.628 Ry/atom. Number 3: total energy -0.351 Ry/atom. Number 4: total energy -0.339 Ry/atom.